# 1
Entry from the Alexandria database: crystalline SbPd2IBr at its relaxed geometry (PBE-GGA).

Cell lengths 5.125, 5.922, 5.125 Å; angles 90.00, 90.00, 90.00 degrees
Site moments in Bohr magnetons follow the coordinates.
Element x y z (fractional)
Pd 0.000 0.000 0.500  0.10
Pd 0.500 0.000 0.000  0.23
Br 0.500 0.500 0.500  0.33
Sb 0.000 0.000 0.000  0.04
I 0.000 0.500 0.000  0.20

Results
- size of the total moment (μB per atom) = 0.25
- formation energy (no corrections) (eV/atom) = 0.4743

***

# 2
Entry from the Alexandria database: crystalline Sr2LaNiRh at its relaxed geometry (PBE-GGA).

Cell lengths 5.480, 5.290, 5.480 Å; angles 90.00, 90.00, 90.00 degrees
Element x y z (fractional)
Rh 0.500 0.500 0.500
Sr 0.000 0.000 0.500
Sr 0.500 0.000 0.000
Ni 0.000 0.000 0.000
La 0.000 0.500 0.000

Results
- size of the total moment (μB per atom) = 0.00
- E_form (meV per atom) = 256

***

# 3
Entry from the Alexandria database: crystalline Ca4NdAg5 at its relaxed geometry (PBE-GGA).

Cell lengths 3.739, 3.739, 18.484 Å; angles 90.00, 90.00, 90.00 degrees
Element x y z (fractional)
Ca 0.000 0.000 0.599
Ca 0.000 0.000 0.401
Ca 0.000 0.000 0.201
Ca 0.000 0.000 0.799
Ag 0.500 0.500 0.901
Ag 0.500 0.500 0.099
Ag 0.500 0.500 0.302
Ag 0.500 0.500 0.500
Ag 0.500 0.500 0.698
Nd 0.000 0.000 0.000

Results
- size of the total moment (μB per atom) = 0.00
- E_form (meV per atom) = -303

***

# 4
Entry from the Alexandria database: crystalline Pm2PaCo4 at its relaxed geometry (PBE-GGA).

Cell lengths 4.366, 4.366, 7.602 Å; angles 106.69, 106.69, 90.00 degrees
Element x y z (fractional)
Co 0.905 0.405 0.810
Co 0.595 0.095 0.190
Co 0.405 0.905 0.810
Co 0.095 0.595 0.190
Pa 0.000 0.000 0.000
Pm 0.721 0.721 0.442
Pm 0.279 0.279 0.558

Results
- size of the total moment (μB per atom) = 0.00
- E_form (meV per atom) = 179

***

# 5
Entry from the Alexandria database: crystalline Li2UF5 at its relaxed geometry (PBE-GGA).

Cell lengths 3.671, 5.024, 11.684 Å; angles 90.00, 90.00, 90.00 degrees
Site moments in Bohr magnetons follow the coordinates.
Element x y z (fractional)
F 0.500 0.966 0.616  0.00
F 0.000 0.034 0.884  0.00
F 0.500 0.564 0.166  0.00
F 0.500 0.463 0.500  -0.01
F 0.000 0.537 0.000  -0.01
F 0.000 0.436 0.334  0.00
F 0.000 0.034 0.116  0.00
F 0.000 0.436 0.666  0.00
F 0.500 0.564 0.834  0.00
F 0.500 0.966 0.384  0.00
U 0.000 0.153 0.500  2.90
U 0.500 0.847 0.000  2.90
Li 0.500 0.605 0.668  0.00
Li 0.000 0.395 0.168  0.00
Li 0.500 0.605 0.332  0.00
Li 0.000 0.395 0.832  0.00

Results
- size of the total moment (μB per atom) = 0.38
- formation energy (no corrections) (eV/atom) = -3.1342

***

# 6
Entry from the Alexandria database: crystalline Nd4Al12Hg at its relaxed geometry (PBE-GGA).

Cell lengths 7.730, 7.730, 7.730 Å; angles 109.47, 109.47, 109.47 degrees
Element x y z (fractional)
Al 0.250 0.750 0.500
Al 0.314 0.314 0.000
Al 0.686 0.000 0.686
Al 0.500 0.750 0.250
Al 0.500 0.250 0.750
Al 0.750 0.250 0.500
Al 0.000 0.314 0.314
Al 0.250 0.500 0.750
Al 0.750 0.500 0.250
Al 0.686 0.686 0.000
Al 0.000 0.686 0.686
Al 0.314 0.000 0.314
Nd 0.000 0.000 0.500
Nd 0.500 0.000 0.000
Nd 0.000 0.500 0.000
Nd 0.500 0.500 0.500
Hg 0.000 0.000 0.000

Results
- size of the total moment (μB per atom) = 0.00
- E_form (meV per atom) = -388

***

The highest size of the total moment belongs to which entry?
Li2UF5